Compound: PrMnF
Source: Alexandria
Functional: PBE+U
Structure: optimized geometry

Cell: 3.9647 3.9647 29.8356 Å, 90.00 90.00 120.00°
Space group R-3m (No. 166, hexagonal axes)
Inequivalent atoms, fractional coordinates:
Pr 0.0000 0.0000 0.1049 [6 per cell]
Mn 0.0000 0.0000 0.3619 [6 per cell]
F 0.0000 0.0000 0.1902 [6 per cell]

The value obtained for the density of states at the Fermi level is 9.13 states/eV/cell. Its uncorrected energy is -0.44401 Ry/atom.